Entry from Alexandria via LeMat-Bulk: a relaxed structure of LiSnO3 (PBE).

Cell: 3.218 6.498 6.498 Å, 114.66 90.00 90.00°
Each line ends with the local moment (μB).
Sites, in units of the cell vectors:
Sn  0.000  0.500  0.000  -0.02
Sn  0.000  0.000  0.500  -0.02
O  0.000  0.853  0.148  0.11
O  0.500  0.801  0.527  0.38
O  0.500  0.199  0.473  0.38
O  0.500  0.527  0.801  0.38
O  0.000  0.148  0.853  0.11
O  0.500  0.473  0.199  0.38
Li  0.500  0.001  0.001  0.00
Li  0.500  0.500  0.500  -0.01

magnetization	2.01	μB/cell
Fermi-level density of states	0.82	states/eV/cell
V	12.35	A^3/atom
final energy	-5.531	eV/atom
uncorrected formation energy	-1372.9	meV/atom
crystal system	orthorhombic


Entry from Alexandria via LeMat-Bulk: a relaxed structure of Hf2AsS (PBE).

Cell: 5.833 5.833 7.146 Å, 65.91 65.91 90.00°
Sites, in units of the cell vectors:
As  0.000  0.000  0.000
As  0.750  0.250  0.500
S  0.500  0.500  0.000
S  0.250  0.750  0.500
Hf  0.375  0.392  0.750
Hf  0.608  0.125  0.250
Hf  0.875  0.858  0.750
Hf  0.142  0.625  0.250

magnetization	0.00	μB/cell
Fermi-level density of states	5.79	states/eV/cell
energy relative to the lowest polymorph listed for this composition	518.1	meV per atom
V	24.82	A^3/atom
final energy	-7.732	eV/atom
uncorrected formation energy	-560.5	meV/atom
crystal system	tetragonal


Among the records above, which one has the highest uncorrected formation energy?
Hf2AsS